[1]
Material: ScGeBr2
Method: DFT, PBE
State: relaxed

Cell and atoms, written as CIF:
```
data_ScGeBr2
_chemical_formula_sum 'Sc4 Ge4 Br8'
_symmetry_space_group_name_H-M 'I -4 2 d'
_symmetry_Int_Tables_number 122
_symmetry_space_group_name_Hall 'I -4 2bw'
_cell_length_a 9.623
_cell_length_b 9.623
_cell_length_c 5.522
_cell_angle_alpha 90.00
_cell_angle_beta 90.00
_cell_angle_gamma 90.00
loop_
_atom_site_label
_atom_site_type_symbol
_atom_site_fract_x
_atom_site_fract_y
_atom_site_fract_z
Sc1 Sc 0.000 0.000 0.000
Ge1 Ge 0.000 0.000 0.500
Br1 Br 0.103 0.250 0.125
```

Calculated values
V ... 32.0 Å³/atom
Fermi-level density of states ... 0.53 states/eV/atom
Polymorph energy (0 for the lowest one) ... 0.0 meV/atom
E_tot ... -66.35 eV/cell

***

[2]
Material: ScGeBr2
Method: DFT, PBE
State: relaxed

Cell and atoms, written as CIF:
```
data_ScGeBr2
_chemical_formula_sum 'Sc3 Ge3 Br6'
_symmetry_space_group_name_H-M 'R -3 m'
_symmetry_Int_Tables_number 166
_symmetry_space_group_name_Hall '-R 3 2"'
_cell_length_a 3.5632
_cell_length_b 3.5632
_cell_length_c 29.7109
_cell_angle_alpha 90.00
_cell_angle_beta 90.00
_cell_angle_gamma 120.00
loop_
_atom_site_label
_atom_site_type_symbol
_atom_site_fract_x
_atom_site_fract_y
_atom_site_fract_z
Sc1 Sc 0.0000 0.0000 0.0000
Ge1 Ge 0.0000 0.0000 0.5000
Br1 Br 0.0000 0.0000 0.0858
```

Calculated values
V ... 27.2 Å³/atom
Fermi-level density of states ... 0.83 states/eV/atom
Polymorph energy (0 for the lowest one) ... 324.7 meV/atom
E_tot ... -45.86 eV/cell

***

[3]
Material: Sc3GeBr3
Method: DFT, PBE
State: relaxed

Cell and atoms, written as CIF:
```
data_Sc3GeBr3
_chemical_formula_sum 'Sc24 Ge8 Br24'
_symmetry_space_group_name_H-M 'I 41 3 2'
_symmetry_Int_Tables_number 214
_symmetry_space_group_name_Hall 'I 4bd 2c 3'
_cell_length_a 11.089
_cell_length_b 11.089
_cell_length_c 11.089
_cell_angle_alpha 90.00
_cell_angle_beta 90.00
_cell_angle_gamma 90.00
loop_
_atom_site_label
_atom_site_type_symbol
_atom_site_fract_x
_atom_site_fract_y
_atom_site_fract_z
Sc1 Sc 0.112 0.362 0.125
Ge1 Ge 0.125 0.125 0.125
Br1 Br 0.122 0.128 0.625
```

Calculated values
V ... 24.3 Å³/atom
Fermi-level density of states ... 0.39 states/eV/atom
E_tot ... -299.91 eV/cell

***

[4]
Material: ScGe2Br8
Method: DFT, PBE
State: relaxed

Cell and atoms, written as CIF:
```
data_ScGe2Br8
_chemical_formula_sum 'Sc2 Ge4 Br16'
_symmetry_space_group_name_H-M 'C 1 2/m 1'
_symmetry_Int_Tables_number 12
_symmetry_space_group_name_Hall '-C 2y'
_cell_length_a 12.018
_cell_length_b 10.736
_cell_length_c 7.145
_cell_angle_alpha 90.00
_cell_angle_beta 104.73
_cell_angle_gamma 90.00
loop_
_atom_site_label
_atom_site_type_symbol
_atom_site_fract_x
_atom_site_fract_y
_atom_site_fract_z
Sc1 Sc 0.000 0.000 0.000
Ge1 Ge 0.177 0.000 0.634
Br1 Br 0.079 0.174 0.800
Br2 Br 0.127 0.500 0.187
Br3 Br 0.205 0.000 0.260
```

Calculated values
V ... 40.5 Å³/atom
Fermi-level density of states ... 0.51 states/eV/atom
E_tot ... -77.10 eV/cell

***

[5]
Material: Sc2Ge2Br
Method: DFT, PBE
State: relaxed

Cell and atoms, written as CIF:
```
data_Sc2Ge2Br
_chemical_formula_sum 'Sc4 Ge4 Br2'
_symmetry_space_group_name_H-M 'P 4/m b m'
_symmetry_Int_Tables_number 127
_symmetry_space_group_name_Hall '-P 4 2ab'
_cell_length_a 7.454
_cell_length_b 7.454
_cell_length_c 3.778
_cell_angle_alpha 90.00
_cell_angle_beta 90.00
_cell_angle_gamma 90.00
loop_
_atom_site_label
_atom_site_type_symbol
_atom_site_fract_x
_atom_site_fract_y
_atom_site_fract_z
Sc1 Sc 0.178 0.322 0.000
Ge1 Ge 0.116 0.616 0.500
Br1 Br 0.000 0.000 0.000
```

Calculated values
V ... 21.0 Å³/atom
Fermi-level density of states ... 0.61 states/eV/atom
E_tot ... -54.82 eV/cell

***

[6]
Material: ScGe3Br
Method: DFT, PBE
State: relaxed

Cell and atoms, written as CIF:
```
data_ScGe3Br
_chemical_formula_sum 'Sc1 Ge3 Br1'
_symmetry_space_group_name_H-M 'P m -3 m'
_symmetry_Int_Tables_number 221
_symmetry_space_group_name_Hall '-P 4 2 3'
_cell_length_a 5.297
_cell_length_b 5.297
_cell_length_c 5.297
_cell_angle_alpha 90.00
_cell_angle_beta 90.00
_cell_angle_gamma 90.00
loop_
_atom_site_label
_atom_site_type_symbol
_atom_site_fract_x
_atom_site_fract_y
_atom_site_fract_z
Sc1 Sc 0.000 0.000 0.000
Ge1 Ge 0.000 0.000 0.500
Br1 Br 0.500 0.500 0.500
```

Calculated values
V ... 29.7 Å³/atom
Fermi-level density of states ... 1.10 states/eV/atom
Polymorph energy (0 for the lowest one) ... 0.0 meV/atom
E_tot ... -19.36 eV/cell

***

[7]
Material: ScGeSeBr2
Method: DFT, PBE
State: relaxed

Cell and atoms, written as CIF:
```
data_ScGeSeBr2
_chemical_formula_sum 'Sc1 Ge1 Se1 Br2'
_symmetry_space_group_name_H-M 'P 4/m m m'
_symmetry_Int_Tables_number 123
_symmetry_space_group_name_Hall '-P 4 2'
_cell_length_a 5.236
_cell_length_b 5.236
_cell_length_c 5.267
_cell_angle_alpha 90.00
_cell_angle_beta 90.00
_cell_angle_gamma 90.00
loop_
_atom_site_label
_atom_site_type_symbol
_atom_site_fract_x
_atom_site_fract_y
_atom_site_fract_z
Sc1 Sc 0.000 0.000 0.000
Ge1 Ge 0.500 0.500 0.500
Se1 Se 0.000 0.000 0.500
Br1 Br 0.000 0.500 0.000
```

Calculated values
V ... 28.9 Å³/atom
Fermi-level density of states ... 0.43 states/eV/atom
Polymorph energy (0 for the lowest one) ... 0.0 meV/atom
E_tot ... -20.73 eV/cell

***

[8]
Material: ScGeSeBr2
Method: DFT, PBE
State: relaxed

Cell and atoms, written as CIF:
```
data_ScGeSeBr2
_chemical_formula_sum 'Sc1 Ge1 Se1 Br2'
_symmetry_space_group_name_H-M 'P 4/m m m'
_symmetry_Int_Tables_number 123
_symmetry_space_group_name_Hall '-P 4 2'
_cell_length_a 5.535
_cell_length_b 5.535
_cell_length_c 5.091
_cell_angle_alpha 90.00
_cell_angle_beta 90.00
_cell_angle_gamma 90.00
loop_
_atom_site_label
_atom_site_type_symbol
_atom_site_fract_x
_atom_site_fract_y
_atom_site_fract_z
Sc1 Sc 0.000 0.000 0.000
Ge1 Ge 0.500 0.500 0.000
Se1 Se 0.000 0.000 0.500
Br1 Br 0.000 0.500 0.500
```

Calculated values
V ... 31.2 Å³/atom
Fermi-level density of states ... 0.86 states/eV/atom
Polymorph energy (0 for the lowest one) ... 844.0 meV/atom
E_tot ... -16.51 eV/cell